# YCrCd2

A relaxed YCrCd2 crystal (PBE-GGA, Alexandria via LeMat-Bulk).

Unit cell a=3.516 b=3.520 c=7.234 alpha=90.00 beta=90.00 gamma=90.00
Site moments in Bohr magnetons follow the coordinates.
Sites, in units of the cell vectors:
Cd 0.000 0.000 0.037  -0.03
Cd 0.000 0.000 0.463  -0.03
Y 0.500 0.500 0.750  -0.16
Cr 0.500 0.500 0.250  3.64

Summary:
**Symmetry**: P4/mmm, No. 123

# YCrCd4

A relaxed YCrCd4 crystal (PBE-GGA, Alexandria via LeMat-Bulk).

Unit cell a=5.746 b=5.746 c=5.746 alpha=60.00 beta=60.00 gamma=60.00
Site moments in Bohr magnetons follow the coordinates.
Sites, in units of the cell vectors:
Cr 0.750 0.750 0.750  3.69
Y 0.000 0.000 0.000  -0.15
Cd 0.375 0.375 0.375  -0.05
Cd 0.375 0.375 0.874  -0.05
Cd 0.375 0.874 0.375  -0.05
Cd 0.874 0.375 0.375  -0.05

Summary:
**Symmetry**: F-43m, No. 216

# YCrCd2

A relaxed YCrCd2 crystal (PBE-GGA, Alexandria via LeMat-Bulk).

Unit cell a=4.999 b=4.999 c=4.999 alpha=120.03 beta=120.02 gamma=89.95
Site moments in Bohr magnetons follow the coordinates.
Sites, in units of the cell vectors:
Cd 0.000 0.000 0.000  -0.01
Y 0.250 0.750 0.500  0.24
Cr 0.500 0.500 0.000  3.87
Cd 0.750 0.250 0.500  0.00

Summary:
**Symmetry**: F-43m, No. 216

# ZnCr2Cd

A relaxed ZnCr2Cd crystal (PBE-GGA, Alexandria via LeMat-Bulk).

Unit cell a=5.068 b=5.068 c=2.595 alpha=84.84 beta=84.84 gamma=119.07
Sites, in units of the cell vectors:
Zn 0.500 0.000 0.500
Cr 0.000 0.000 0.000
Cr 0.500 0.500 0.000
Cd 0.000 0.500 0.500

Summary:
**ΔE to the lowest computed polymorph**: 332 meV/atom
**Symmetry**: C2/m, No. 12

# Zn2CrCd

A relaxed Zn2CrCd crystal (PBE-GGA, Alexandria via LeMat-Bulk).

Unit cell a=9.546 b=9.546 c=9.546 alpha=16.75 beta=16.75 gamma=16.75
Sites, in units of the cell vectors:
Zn 0.005 0.005 0.005
Cr 0.744 0.744 0.744
Cd 0.495 0.495 0.495
Zn 0.256 0.256 0.256

Summary:
**Symmetry**: R3m, No. 160

# Zn2CrCd

A relaxed Zn2CrCd crystal (PBE-GGA, Alexandria via LeMat-Bulk).

Unit cell a=3.075 b=3.075 c=7.057 alpha=90.00 beta=90.00 gamma=90.00
Site moments in Bohr magnetons follow the coordinates.
Sites, in units of the cell vectors:
Cd 0.000 0.000 0.500  -0.02
Zn 0.000 0.000 0.000  -0.02
Cr 0.500 0.500 0.778  3.39
Zn 0.500 0.500 0.221  0.01

Summary:
**Symmetry**: P4mm, No. 99

# Zn2CrCd

A relaxed Zn2CrCd crystal (PBE-GGA, Alexandria via LeMat-Bulk).

Unit cell a=2.703 b=2.703 c=8.579 alpha=90.00 beta=90.00 gamma=99.15
Sites, in units of the cell vectors:
Cr 0.500 0.500 0.769
Zn 0.500 0.500 0.230
Cd 0.000 0.000 0.511
Zn 0.000 0.000 0.990

Summary:
**Symmetry**: Cmm2, No. 35

# Zn2CrCd

A relaxed Zn2CrCd crystal (PBE-GGA, Alexandria via LeMat-Bulk).

Unit cell a=2.984 b=2.984 c=7.463 alpha=90.00 beta=90.00 gamma=90.00
Site moments in Bohr magnetons follow the coordinates.
Sites, in units of the cell vectors:
Zn 0.000 0.000 0.972  -0.04
Cr 0.500 0.500 0.750  3.17
Cd 0.500 0.500 0.250  -0.01
Zn 0.000 0.000 0.528  -0.04

Summary:
**Symmetry**: P4/mmm, No. 123

# ZnCr2Cd

A relaxed ZnCr2Cd crystal (PBE-GGA, Alexandria via LeMat-Bulk).

Unit cell a=2.727 b=4.153 c=5.278 alpha=90.00 beta=90.00 gamma=90.00
Sites, in units of the cell vectors:
Cd 0.500 0.500 0.750
Cr 0.000 0.000 0.441
Zn 0.500 0.500 0.250
Cr 0.000 0.000 0.059

Summary:
**ΔE to the lowest computed polymorph**: 267 meV/atom
**Symmetry**: Pmmm, No. 47

# ZnCr2Cd

A relaxed ZnCr2Cd crystal (PBE-GGA, Alexandria via LeMat-Bulk).

Unit cell a=9.036 b=9.036 c=9.036 alpha=18.03 beta=18.03 gamma=18.03
Sites, in units of the cell vectors:
Cr 0.260 0.260 0.260
Cd 0.745 0.745 0.745
Zn 0.511 0.511 0.511
Cr 0.984 0.984 0.984

Summary:
**ΔE to the lowest computed polymorph**: 100 meV/atom
**Symmetry**: R3m, No. 160

# ZnCr4Cd

A relaxed ZnCr4Cd crystal (PBE-GGA, Alexandria via LeMat-Bulk).

Unit cell a=4.884 b=4.884 c=4.884 alpha=60.00 beta=60.00 gamma=60.00
Sites, in units of the cell vectors:
Cr 0.377 0.377 0.870
Zn 0.750 0.750 0.750
Cr 0.870 0.377 0.377
Cr 0.377 0.870 0.377
Cd 0.000 0.000 0.000
Cr 0.377 0.377 0.377

Summary:
**Symmetry**: F-43m, No. 216

# Zn2CrCd

A relaxed Zn2CrCd crystal (PBE-GGA, Alexandria via LeMat-Bulk).

Unit cell a=5.025 b=5.025 c=5.025 alpha=132.74 beta=132.74 gamma=69.06
Site moments in Bohr magnetons follow the coordinates.
Sites, in units of the cell vectors:
Zn 0.250 0.750 0.500  -0.02
Cd 0.500 0.500 0.000  0.01
Cr 0.750 0.250 0.500  3.55
Zn 0.000 0.000 0.000  -0.01

Summary:
**Symmetry**: I-4m2, No. 119

no.,calculated total energy (eV/cell),size of the total moment (μB/f.u.)
1,-17.6,3.61
2,-19.4,3.48
3,-17.6,4.79
4,-19.3,0.00
5,-11.6,0.00
6,-12.2,3.68
7,-11.8,0.00
8,-12.3,3.29
9,-19.6,0.00
10,-20.3,0.00
11,-37.8,0.00
12,-12.2,3.93